No. 1
## La2GaRh2 (PBE-GGA)

Data for crystalline La2GaRh2 at its relaxed geometry.

- total DFT energy (no corrections) (eV for the cell shown) = -30.80
- calculated formation energy (eV per atom) = -0.64
- D(E_F) (states/eV/f.u.) = 2.02

a = 5.566 Å, b = 5.566 Å, c = 5.566 Å
α = 119.25°, β = 119.25°, γ = 91.30°
Sites, in units of the cell vectors:
La1 0.250 0.750 0.500
La2 0.750 0.250 0.500
Ga1 0.000 0.000 0.000
Rh1 0.319 0.319 0.000
Rh2 0.681 0.681 0.000


No. 2
## ZnCo2Tc (PBE-GGA)

Data for crystalline ZnCo2Tc at its relaxed geometry.

- total DFT energy (no corrections) (eV for the cell shown) = -25.37
- calculated formation energy (eV per atom) = 0.12
- D(E_F) (states/eV/f.u.) = 4.76

a = 4.411 Å, b = 4.411 Å, c = 2.612 Å
α = 90.00°, β = 90.00°, γ = 105.69°
Sites, in units of the cell vectors:
Zn1 0.000 0.000 0.000
Co1 0.000 0.500 0.500
Co2 0.500 0.000 0.500
Tc1 0.500 0.500 0.000


No. 3
## CaRhIN2 (PBE-GGA)

Data for crystalline CaRhIN2 at its relaxed geometry.

- total DFT energy (no corrections) (eV for the cell shown) = -19.67
- D(E_F) (states/eV/f.u.) = 4.07
- energy relative to the lowest polymorph listed for this composition (eV/f.u.) = 4.79
- ΔE_f (raw) (eV/atom) = 1.577

a = 4.508 Å, b = 4.508 Å, c = 6.381 Å
α = 90.00°, β = 90.00°, γ = 90.00°
Sites, in units of the cell vectors:
Ca1 0.000 0.000 0.000
Rh1 0.500 0.500 0.500
I1 0.000 0.000 0.500
N1 0.000 0.500 0.000
N2 0.500 0.000 0.000